1.
Density functional theory data (meta-GGA SCAN) for a crystal of Tl2CS relaxed with PBEsol. Values from VASP.

Values from the calculation:
Symmetry = No. 225
Crystal system = cubic
Distance to the lowest polymorph of the same formula = 2.807 eV per formula unit
DFT total energy = -2.921 Ry per atom

Structure (Quantum ESPRESSO input):
```
&SYSTEM
  ibrav = 0, nat = 4, ntyp = 3
/
ATOMIC_SPECIES
Tl 204.38 Tl.upf
C 12.01 C.upf
S 32.06 S.upf
CELL_PARAMETERS angstrom
4.866 0.000 0.000
2.433 4.214 0.000
2.433 1.405 3.973
ATOMIC_POSITIONS angstrom
Tl 2.433 1.405 0.993
Tl 7.298 4.214 2.980
C 0.000 0.000 0.000
S 4.866 2.809 1.986
```

2.
Density functional theory data (meta-GGA SCAN) for a crystal of GaRe3W relaxed with PBEsol. Values from VASP.

Values from the calculation:
Symmetry = No. 221
Crystal system = cubic
ΔH_f (0 K) = 1962 meV per atom
DFT total energy = -4.256 Ry per atom

Structure (Quantum ESPRESSO input):
```
&SYSTEM
  ibrav = 0, nat = 5, ntyp = 3
/
ATOMIC_SPECIES
Re 186.21 Re.upf
Ga 69.72 Ga.upf
W 183.84 W.upf
CELL_PARAMETERS angstrom
4.394 0.000 0.000
0.000 4.394 0.000
0.000 0.000 4.394
ATOMIC_POSITIONS angstrom
Re 0.000 2.197 0.000
Re 2.197 0.000 0.000
Re 0.000 0.000 2.197
Ga 0.000 0.000 0.000
W 2.197 2.197 2.197
```